No. 1
NaEr2Os: optimized geometry, GGA-PBE.

Output
- Energy relative to the elements: -172 meV per atom
- Final energy: -22.36 eV per cell

a = 3.375 Å, b = 3.375 Å, c = 9.476 Å
α = 90.00°, β = 90.00°, γ = 90.00°
Space group P4/mmm (No. 123)
Inequivalent atoms, fractional coordinates:
Na1 0.000 0.000 0.000
Er1 0.500 0.500 0.328
Os1 0.000 0.000 0.500


No. 2
NaEr2P: optimized geometry, GGA-PBE.

Output
- Energy relative to the elements: -562 meV per atom
- Final energy: -54.31 eV per cell

a = 3.7656 Å, b = 3.7656 Å, c = 30.7814 Å
α = 90.00°, β = 90.00°, γ = 120.00°
Space group R-3m (No. 166, hexagonal axes)
Inequivalent atoms, fractional coordinates:
Na1 0.0000 0.0000 0.0000
Er1 0.0000 0.0000 0.1150
P1 0.0000 0.0000 0.5000


No. 3
NaErP2S6: optimized geometry, GGA-PBE.

Output
- E_form (uncorrected): -0.91 eV per atom
- Final energy: -101.09 eV per cell

a = 6.998 Å, b = 7.178 Å, c = 9.176 Å
α = 86.55°, β = 87.99°, γ = 87.79°
Space group P-1 (No. 2)
Inequivalent atoms, fractional coordinates:
Na1 0.029 0.103 0.219
Er1 0.479 0.618 0.248
P1 0.149 0.538 0.527
P2 0.435 0.893 0.935
S1 0.152 0.533 0.749
S2 0.201 0.788 0.424
S3 0.210 0.798 0.061
S4 0.335 0.337 0.451
S5 0.359 0.319 0.062
S6 0.372 0.024 0.741


No. 4
Na3Er2PaS6: optimized geometry, GGA-PBE.

Output
- E_form (uncorrected): -1.68 eV per atom
- Final energy: -135.12 eV per cell

a = 6.835 Å, b = 11.839 Å, c = 7.097 Å
α = 90.00°, β = 108.72°, γ = 90.00°
Space group C2/m (No. 12)
Inequivalent atoms, fractional coordinates:
Na1 0.000 0.000 0.000
Na2 0.000 0.332 0.000
Er1 0.000 0.167 0.500
Pa1 0.000 0.500 0.500
S1 0.242 0.000 0.729
S2 0.243 0.333 0.729